PBE Cs3Cd8Ag3, relaxed; E_form = -28 meV/atom; space group = Immm, No. 71; Fermi-level density of states = 5.532 states/eV/cell
1.0
4.915 0.000 1.259
2.208 9.550 1.604
0.074 0.094 9.932
Cs Cd Ag
3 8 3
direct
0.500 0.500 0.500
0.807 0.193 0.193
0.193 0.807 0.807
0.601 0.105 0.692
0.399 0.895 0.308
0.601 0.692 0.105
0.399 0.308 0.895
0.807 0.902 0.485
0.193 0.098 0.515
0.807 0.485 0.902
0.193 0.515 0.098
0.500 0.000 0.000
0.000 0.757 0.243
0.000 0.243 0.757

PBE Cs2CdAg, relaxed; E_form = 108 meV/atom; space group = R3m, No. 160; Fermi-level density of states = 3.393 states/eV/cell; energy relative to the lowest polymorph listed for this composition = 0.58 eV/f.u.
1.0
5.307 0.000 0.000
2.654 4.596 0.000
2.654 1.532 9.644
Cs Cd Ag
2 1 1
direct
0.074 0.074 0.777
0.259 0.259 0.224
0.502 0.502 0.495
0.665 0.665 0.004

PBE CsCdAg2, relaxed; E_form = 336 meV/atom; space group = Fm-3m, No. 225; Fermi-level density of states = 1.478 states/eV/cell; energy relative to the lowest polymorph listed for this composition = 1.54 eV/f.u.
1.0
1.893 3.918 3.530
-3.405 4.106 1.716
-1.812 0.106 5.301
Cs Ag Cd
1 2 1
direct
0.500 0.500 0.500
0.250 0.250 0.250
0.750 0.750 0.750
0.000 0.000 0.000

PBE CsCd3Ag3, relaxed; E_form = 154 meV/atom; space group = Pm-3n, No. 223; Fermi-level density of states = 6.278 states/eV/cell
1.0
-6.872 2.833 2.520
-1.520 -6.837 3.541
3.473 2.612 6.535
Cs Ag Cd
2 6 6
direct
0.500 0.500 0.500
0.000 0.000 0.000
0.250 0.000 0.500
0.000 0.500 0.250
0.500 0.750 0.000
0.750 0.000 0.500
0.000 0.500 0.750
0.500 0.250 0.000
0.000 0.250 0.500
0.000 0.750 0.500
0.500 0.000 0.750
0.750 0.500 0.000
0.500 0.000 0.250
0.250 0.500 0.000

PBE CsCd3Ag, relaxed; E_form = 14 meV/atom; space group = Pm-3m, No. 221; Fermi-level density of states = 2.131 states/eV/cell; energy relative to the lowest polymorph listed for this composition = 0.00 eV/f.u.
1.0
5.528 0.000 0.000
0.000 5.528 0.000
0.000 0.000 5.528
Cs Ag Cd
1 1 3
direct
0.500 0.500 0.500
0.000 0.000 0.000
0.000 0.500 0.000
0.000 0.000 0.500
0.500 0.000 0.000

PBE Cs2Cd2Ag, relaxed; E_form = 64 meV/atom; space group = P4/mbm, No. 127; Fermi-level density of states = 6.640 states/eV/cell; energy relative to the lowest polymorph listed for this composition = 0.46 eV/f.u.
1.0
-1.731 6.126 -5.084
-3.028 -5.319 -5.377
-5.506 0.558 2.548
Cs Ag Cd
4 2 4
direct
0.180 0.680 0.500
0.680 0.820 0.500
0.820 0.320 0.500
0.320 0.180 0.500
0.000 0.000 0.000
0.500 0.500 0.000
0.364 0.864 0.000
0.864 0.636 0.000
0.636 0.136 0.000
0.136 0.364 0.000

Which formula does entry 2 have?
Cs2CdAg

Please write out number 5 again, unchanged.
PBE CsCd3Ag, relaxed; E_form = 14 meV/atom; space group = Pm-3m, No. 221; Fermi-level density of states = 2.131 states/eV/cell; energy relative to the lowest polymorph listed for this composition = 0.00 eV/f.u.
1.0
5.528 0.000 0.000
0.000 5.528 0.000
0.000 0.000 5.528
Cs Ag Cd
1 1 3
direct
0.500 0.500 0.500
0.000 0.000 0.000
0.000 0.500 0.000
0.000 0.000 0.500
0.500 0.000 0.000